Density functional theory data (PBE) for an optimized crystal structure of Ac3LaOs.

Properties
Formation energy: 0.101 eV/atom
Uncorrected energy: -5.596 eV/atom
N(E_F): 8.8 states/eV/cell

Structure (CIF):
```
data_Ac3LaOs
_chemical_formula_sum 'Ac3 La1 Os1'
_cell_length_a 5.899
_cell_length_b 5.899
_cell_length_c 5.899
_cell_angle_alpha 90.00
_cell_angle_beta 90.00
_cell_angle_gamma 90.00
_space_group_name_H-M_alt 'P m -3 m'
_space_group_IT_number 221
_space_group_name_Hall '-P 4 2 3'
loop_
_atom_site_label
_atom_site_type_symbol
_atom_site_fract_x
_atom_site_fract_y
_atom_site_fract_z
Ac1 Ac 0.000 0.000 0.500
La1 La 0.500 0.500 0.500
Os1 Os 0.000 0.000 0.000
```